! PBE Si2AgIr, relaxed; values from VASP
! - Energy above the most stable polymorph in this dataset: 90 meV/atom
! - SG: No. 8
! - E_form (uncorrected): 0.039 eV per atom
! - Spin magnetization: 0.00 μB/atom
&SYSTEM
  ibrav = 0, nat = 4, ntyp = 3
/
ATOMIC_SPECIES
Si 28.09 Si.upf
Ag 107.87 Ag.upf
Ir 192.22 Ir.upf
ATOMIC_POSITIONS crystal
Si 0.000 0.000 0.000
Si 0.242 0.242 0.705
Ag 0.491 0.491 0.480
Ir 0.727 0.727 0.102
CELL_PARAMETERS angstrom
4.275 -1.503 0.000
4.275 1.503 0.000
-0.695 0.000 4.858